Material: Y2Zn2Sb
Method: DFT, GGA-PBE
State: optimized geometry

a = 8.1221 Å, b = 8.1221 Å, c = 3.9052 Å
α = 90.00°, β = 90.00°, γ = 90.00°
Last column: nearest neighbours and their distance in Å.
Space group P4/mbm (No. 127)
Inequivalent atoms, fractional coordinates:
1 Y 0.1688 0.3312 0.0000 [4 per cell]  2 Sb 3.02, 6 Zn 3.07-3.10
2 Zn 0.1252 0.6252 0.5000 [4 per cell]  1 Zn 2.88, 6 Y 3.07-3.10
3 Sb 0.0000 0.0000 0.0000 [2 per cell]  4 Y 3.02

N(E_F) in states/eV per atom: 1.101
Size of the total moment in μB per formula unit: 0.0
Relative energy among the computed polymorphs in meV per atom: 274
Energy in eV for the cell shown: -41.82
Raw formation energy in kJ/mol of formula units: -127